Record 1
Computed, not measured: a relaxed CeMgOsRu crystal at the PBE level of DFT.

Cell: 6.584 6.584 6.584 Å, 90.00 90.00 90.00°
Space group F-43m (No. 216)
Symmetry-distinct sites (fractional):
Ce  0.000  0.000  0.000 (multiplicity 4)
Mg  0.000  0.000  0.500 (multiplicity 4)
Os  0.250  0.250  0.750 (multiplicity 4)
Ru  0.250  0.250  0.250 (multiplicity 4)

Summary:
ΔE_f ... -0.0473 eV/atom
Uncorrected energy ... -7.06 eV per atom
DOS at the Fermi energy ... 3.076 states/eV/f.u.

***

Record 2
Computed, not measured: a relaxed MgTiTlPd crystal at the PBE level of DFT.

Cell: 6.650 6.650 6.650 Å, 90.00 90.00 90.00°
Space group F-43m (No. 216)
Symmetry-distinct sites (fractional):
Mg  0.000  0.000  0.000 (multiplicity 4)
Ti  0.000  0.000  0.500 (multiplicity 4)
Tl  0.250  0.250  0.250 (multiplicity 4)
Pd  0.250  0.250  0.750 (multiplicity 4)

Summary:
ΔE_f ... -0.2112 eV/atom
Uncorrected energy ... -4.47 eV per atom
DOS at the Fermi energy ... 2.329 states/eV/f.u.

***

Record 3
Computed, not measured: a relaxed U2Co3Ir3 crystal at the PBE level of DFT.

Cell: 3.895 3.957 7.882 Å, 90.00 90.00 90.00°
Space group Pmmm (No. 47)
Symmetry-distinct sites (fractional):
U  0.000  0.000  0.244 (multiplicity 2)
Co  0.500  0.000  0.000 (multiplicity 1)
Co  0.500  0.500  0.247 (multiplicity 2)
Ir  0.000  0.500  0.000 (multiplicity 1)
Ir  0.000  0.500  0.500 (multiplicity 1)
Ir  0.500  0.000  0.500 (multiplicity 1)

Summary:
ΔE_f ... -0.4509 eV/atom
Uncorrected energy ... -9.26 eV per atom
DOS at the Fermi energy ... 4.804 states/eV/f.u.

***

Record 4
Computed, not measured: a relaxed CuTePd4 crystal at the PBE level of DFT.

Cell: 5.179 7.938 5.145 Å, 90.00 113.50 90.00°
Space group P2_1/c (No. 14)
Symmetry-distinct sites (fractional):
Cu  0.000  0.000  0.000 (multiplicity 2)
Te  0.500  0.000  0.500 (multiplicity 2)
Pd  0.100  0.166  0.595 (multiplicity 4)
Pd  0.396  0.665  0.402 (multiplicity 4)

Summary:
Uncorrected energy ... -4.82 eV per atom
DOS at the Fermi energy ... 3.675 states/eV/f.u.
ΔE to the lowest computed polymorph ... 27.7 meV per atom

***

Record 5
Computed, not measured: a relaxed Pm8Nd2Y crystal at the PBE level of DFT.

Cell: 9.211 16.645 6.026 Å, 90.00 123.92 90.00°
Space group C2/m (No. 12)
Symmetry-distinct sites (fractional):
Pm  0.000  0.206  0.000 (multiplicity 4)
Pm  0.075  0.500  0.796 (multiplicity 4)
Pm  0.215  0.117  0.680 (multiplicity 8)
Nd  0.000  0.309  0.500 (multiplicity 4)
Y  0.000  0.000  0.000 (multiplicity 2)

Summary:
ΔE_f ... 0.1383 eV/atom
Uncorrected energy ... -4.77 eV per atom
DOS at the Fermi energy ... 15.319 states/eV/f.u.
ΔE to the lowest computed polymorph ... 124.9 meV per atom

***

Record 6
Computed, not measured: a relaxed SrAc2Pr crystal at the PBE level of DFT.

Cell: 8.910 8.910 8.910 Å, 90.00 90.00 90.00°
Space group Fm-3m (No. 225)
Symmetry-distinct sites (fractional):
Sr  0.000  0.000  0.000 (multiplicity 4)
Ac  0.250  0.250  0.250 (multiplicity 8)
Pr  0.000  0.000  0.500 (multiplicity 4)

Summary:
ΔE_f ... 0.1427 eV/atom
Uncorrected energy ... -3.53 eV per atom
DOS at the Fermi energy ... 8.379 states/eV/f.u.
ΔE to the lowest computed polymorph ... 99.9 meV per atom

***

Record 7
Computed, not measured: a relaxed Mg4TcAg crystal at the PBE level of DFT.

Cell: 7.746 7.746 7.746 Å, 90.00 90.00 90.00°
Space group F-43m (No. 216)
Symmetry-distinct sites (fractional):
Mg  0.124  0.124  0.124 (multiplicity 16)
Tc  0.250  0.250  0.750 (multiplicity 4)
Ag  0.000  0.000  0.500 (multiplicity 4)

Summary:
ΔE_f ... 0.4980 eV/atom
Uncorrected energy ... -2.77 eV per atom
DOS at the Fermi energy ... 5.907 states/eV/f.u.

***

Record 8
Computed, not measured: a relaxed Ac4SiPb crystal at the PBE level of DFT.

Cell: 8.069 7.907 7.865 Å, 90.00 90.35 90.00°
Space group P2_1/c (No. 14)
Symmetry-distinct sites (fractional):
Ac  0.145  0.167  0.174 (multiplicity 4)
Ac  0.324  0.649  0.141 (multiplicity 4)
Si  0.000  0.000  0.500 (multiplicity 2)
Pb  0.500  0.000  0.000 (multiplicity 2)

Summary:
Uncorrected energy ... -4.48 eV per atom
DOS at the Fermi energy ... 7.520 states/eV/f.u.